First-principles (PBE+U) data for crystalline ZnFeO2F at its relaxed geometry, as listed in Alexandria.

Properties
Crystal system: tetragonal
Electronic total energy: -24.2 eV per cell
Magnetic moment: 4.9 μB per cell
Space group: P4/mmm (123)

```
data_ZnFeO2F
_space_group_name_H-M_alt 'P 1'
_space_group_IT_number 1
_space_group_name_Hall 'P 1'
_cell_length_a 3.900
_cell_length_b 3.900
_cell_length_c 3.856
_cell_angle_alpha 90.00
_cell_angle_beta 90.00
_cell_angle_gamma 90.00
loop_
_atom_site_label
_atom_site_type_symbol
_atom_site_fract_x
_atom_site_fract_y
_atom_site_fract_z
Zn1 Zn 0.000 0.000 0.000
Fe1 Fe 0.500 0.500 0.500
O1 O 0.000 0.500 0.500
O2 O 0.500 0.000 0.500
F1 F 0.500 0.500 0.000
```